--- one ---
! CdGe2Cl6 PBE relaxed; values from VASP
! **Fermi-level density of states**: 0.000 states/eV/atom
! **Calculated volume**: 267.9 Å³/f.u.
&SYSTEM
  ibrav = 0, nat = 18, ntyp = 3
/
ATOMIC_SPECIES
Cl 35.45 Cl.upf
Cd 112.41 Cd.upf
Ge 72.64 Ge.upf
ATOMIC_POSITIONS crystal
Cl 0.741 0.293 0.861
Cl 0.241 0.207 0.639
Cl 0.726 0.377 0.177
Cl 0.715 0.821 0.973
Cl 0.259 0.707 0.139
Cl 0.274 0.623 0.823
Cl 0.285 0.179 0.027
Cl 0.759 0.793 0.361
Cl 0.226 0.123 0.323
Cl 0.774 0.877 0.677
Cl 0.215 0.679 0.527
Cl 0.785 0.321 0.473
Cd 0.000 0.000 0.500
Cd 0.500 0.500 0.000
Ge 0.456 0.999 0.178
Ge 0.544 0.001 0.822
Ge 0.044 0.499 0.678
Ge 0.956 0.501 0.322
CELL_PARAMETERS angstrom
6.641 0.000 0.000
0.000 6.880 -0.076
0.000 -0.123 11.727



--- two ---
! CdGe2Cl6 PBE relaxed; values from VASP
! **Fermi-level density of states**: 0.000 states/eV/atom
! **Calculated volume**: 269.4 Å³/f.u.
&SYSTEM
  ibrav = 0, nat = 18, ntyp = 3
/
ATOMIC_SPECIES
Cl 35.45 Cl.upf
Cd 112.41 Cd.upf
Ge 72.64 Ge.upf
ATOMIC_POSITIONS crystal
Cl 0.522 0.702 0.457
Cl 0.022 0.457 0.702
Cl 0.339 0.359 0.958
Cl 0.661 0.641 0.042
Cl 0.397 0.056 0.196
Cl 0.603 0.944 0.804
Cl 0.897 0.196 0.056
Cl 0.161 0.042 0.641
Cl 0.839 0.958 0.359
Cl 0.103 0.804 0.944
Cl 0.978 0.543 0.298
Cl 0.478 0.298 0.543
Cd 0.250 0.064 0.936
Cd 0.750 0.936 0.064
Ge 0.679 0.478 0.227
Ge 0.821 0.773 0.522
Ge 0.321 0.522 0.773
Ge 0.179 0.227 0.478
CELL_PARAMETERS angstrom
7.070 -0.365 -0.353
1.473 8.672 -0.955
1.473 -0.674 8.698



Which one sits at the top of the stability order? one does.



--- one ---
! Cd2GeCl2 PBE relaxed; values from VASP
! **Fermi-level density of states**: 0.641 states/eV/atom
! **Calculated volume**: 134.2 Å³/f.u.
&SYSTEM
  ibrav = 0, nat = 5, ntyp = 3
/
ATOMIC_SPECIES
Cd 112.41 Cd.upf
Cl 35.45 Cl.upf
Ge 72.64 Ge.upf
ATOMIC_POSITIONS crystal
Cd 0.250 0.750 0.500
Cd 0.750 0.250 0.500
Cl 0.585 0.585 0.831
Cl 0.415 0.415 0.169
Ge 0.000 0.000 0.000
CELL_PARAMETERS angstrom
-3.426 -0.115 1.732
-0.739 -3.371 -1.685
1.639 -6.093 7.095



--- two ---
! Cd2GeCl2 PBE relaxed; values from VASP
! **Fermi-level density of states**: 0.295 states/eV/atom
! **Calculated volume**: 135.3 Å³/f.u.
&SYSTEM
  ibrav = 0, nat = 10, ntyp = 3
/
ATOMIC_SPECIES
Cd 112.41 Cd.upf
Ge 72.64 Ge.upf
Cl 35.45 Cl.upf
ATOMIC_POSITIONS crystal
Cd 0.109 0.609 0.500
Cd 0.391 0.109 0.500
Cd 0.891 0.391 0.500
Cd 0.609 0.891 0.500
Ge 0.000 0.000 0.000
Ge 0.500 0.500 0.000
Cl 0.766 0.734 0.000
Cl 0.234 0.266 0.000
Cl 0.266 0.766 0.000
Cl 0.734 0.234 0.000
CELL_PARAMETERS angstrom
-4.219 -1.046 -7.493
7.443 -2.108 -3.897
-0.563 -3.470 0.801



Which one sits at the top of the stability order? two does.



--- one ---
! CdGe3Cl PBE relaxed; values from VASP
! **Fermi-level density of states**: 1.075 states/eV/atom
! **Calculated volume**: 145.1 Å³/f.u.
&SYSTEM
  ibrav = 0, nat = 5, ntyp = 3
/
ATOMIC_SPECIES
Cl 35.45 Cl.upf
Ge 72.64 Ge.upf
Cd 112.41 Cd.upf
ATOMIC_POSITIONS crystal
Cl 0.500 0.500 0.500
Ge 0.000 0.000 0.500
Ge 0.500 0.000 0.000
Ge 0.000 0.500 0.000
Cd 0.000 0.000 0.000
CELL_PARAMETERS angstrom
-2.650 -1.349 4.333
-0.995 -4.723 -2.079
4.428 -1.869 2.126



--- two ---
! CdGe3Cl PBE relaxed; values from VASP
! **Fermi-level density of states**: 0.770 states/eV/atom
! **Calculated volume**: 125.1 Å³/f.u.
&SYSTEM
  ibrav = 0, nat = 5, ntyp = 3
/
ATOMIC_SPECIES
Cd 112.41 Cd.upf
Ge 72.64 Ge.upf
Cl 35.45 Cl.upf
ATOMIC_POSITIONS crystal
Cd 0.500 0.500 0.500
Ge 0.500 0.000 0.000
Ge 0.000 0.000 0.500
Ge 0.000 0.500 0.000
Cl 0.000 0.000 0.000
CELL_PARAMETERS angstrom
5.002 0.000 0.000
0.000 5.002 0.000
0.000 0.000 5.002



Which one sits at the top of the stability order? two does.



--- one ---
! CdGeP2Cl PBE relaxed; values from VASP
! **Fermi-level density of states**: 0.795 states/eV/atom
! **Calculated volume**: 128.4 Å³/f.u.
&SYSTEM
  ibrav = 0, nat = 5, ntyp = 4
/
ATOMIC_SPECIES
Ge 72.64 Ge.upf
P 30.97 P.upf
Cd 112.41 Cd.upf
Cl 35.45 Cl.upf
ATOMIC_POSITIONS crystal
Ge 0.500 0.500 0.500
P 0.500 0.000 0.000
P 0.000 0.500 0.000
Cd 0.000 0.000 0.000
Cl 0.000 0.000 0.500
CELL_PARAMETERS angstrom
4.956 0.000 0.000
0.000 4.956 0.000
0.000 0.000 5.227



--- two ---
! CdGeP2Cl PBE relaxed; values from VASP
! **Fermi-level density of states**: 0.780 states/eV/atom
! **Calculated volume**: 113.6 Å³/f.u.
&SYSTEM
  ibrav = 0, nat = 5, ntyp = 4
/
ATOMIC_SPECIES
Cl 35.45 Cl.upf
Cd 112.41 Cd.upf
Ge 72.64 Ge.upf
P 30.97 P.upf
ATOMIC_POSITIONS crystal
Cl 0.000 0.000 0.500
Cd 0.500 0.500 0.500
Ge 0.000 0.000 0.000
P 0.000 0.500 0.000
P 0.500 0.000 0.000
CELL_PARAMETERS angstrom
4.801 0.000 0.000
0.000 4.801 0.000
0.000 0.000 4.927



Which one sits at the top of the stability order? two does.



--- one ---
! CdGeSCl2 PBE relaxed; values from VASP
! **Fermi-level density of states**: 0.280 states/eV/atom
! **Calculated volume**: 121.1 Å³/f.u.
&SYSTEM
  ibrav = 0, nat = 5, ntyp = 4
/
ATOMIC_SPECIES
S 32.06 S.upf
Ge 72.64 Ge.upf
Cl 35.45 Cl.upf
Cd 112.41 Cd.upf
ATOMIC_POSITIONS crystal
S 0.000 0.000 0.500
Ge 0.000 0.000 0.000
Cl 0.500 0.000 0.000
Cl 0.000 0.500 0.000
Cd 0.500 0.500 0.500
CELL_PARAMETERS angstrom
4.944 0.000 0.000
0.000 4.944 0.000
0.000 0.000 4.954



--- two ---
! CdGeSCl2 PBE relaxed; values from VASP
! **Fermi-level density of states**: 0.097 states/eV/atom
! **Calculated volume**: 131.8 Å³/f.u.
&SYSTEM
  ibrav = 0, nat = 5, ntyp = 4
/
ATOMIC_SPECIES
Ge 72.64 Ge.upf
Cl 35.45 Cl.upf
S 32.06 S.upf
Cd 112.41 Cd.upf
ATOMIC_POSITIONS crystal
Ge 0.500 0.500 0.500
Cl 0.000 0.500 0.000
Cl 0.500 0.000 0.000
S 0.000 0.000 0.500
Cd 0.000 0.000 0.000
CELL_PARAMETERS angstrom
-4.360 -2.230 1.062
2.125 -4.484 -0.696
1.320 -0.163 5.077



Which one sits at the top of the stability order? one does.



--- one ---
! CdHSCl2 PBE relaxed; values from VASP
! **Fermi-level density of states**: 0.453 states/eV/atom
! **Calculated volume**: 89.8 Å³/f.u.
&SYSTEM
  ibrav = 0, nat = 5, ntyp = 4
/
ATOMIC_SPECIES
S 32.06 S.upf
H 1.01 H.upf
Cl 35.45 Cl.upf
Cd 112.41 Cd.upf
ATOMIC_POSITIONS crystal
S 0.000 0.000 0.500
H 0.000 0.000 0.000
Cl 0.500 0.000 0.000
Cl 0.000 0.500 0.000
Cd 0.500 0.500 0.500
CELL_PARAMETERS angstrom
-2.300 -3.873 2.607
-2.116 -1.726 -4.431
2.650 -1.922 -0.517



--- two ---
! CdHSCl2 PBE relaxed; values from VASP
! **Fermi-level density of states**: 0.820 states/eV/atom
! **Calculated volume**: 145.2 Å³/f.u.
&SYSTEM
  ibrav = 0, nat = 5, ntyp = 4
/
ATOMIC_SPECIES
Cd 112.41 Cd.upf
Cl 35.45 Cl.upf
S 32.06 S.upf
H 1.01 H.upf
ATOMIC_POSITIONS crystal
Cd 0.000 0.000 0.000
Cl 0.500 0.000 0.000
Cl 0.000 0.500 0.000
S 0.000 0.000 0.500
H 0.500 0.500 0.500
CELL_PARAMETERS angstrom
-0.932 2.571 4.456
-5.058 0.369 -1.270
-0.954 -4.609 2.460



Which one sits at the top of the stability order? one does.



--- one ---
! CdHS2Cl PBE relaxed; values from VASP
! **Fermi-level density of states**: 0.491 states/eV/atom
! **Calculated volume**: 86.6 Å³/f.u.
&SYSTEM
  ibrav = 0, nat = 5, ntyp = 4
/
ATOMIC_SPECIES
Cd 112.41 Cd.upf
S 32.06 S.upf
H 1.01 H.upf
Cl 35.45 Cl.upf
ATOMIC_POSITIONS crystal
Cd 0.500 0.500 0.500
S 0.000 0.500 0.000
S 0.500 0.000 0.000
H 0.000 0.000 0.000
Cl 0.000 0.000 0.500
CELL_PARAMETERS angstrom
-0.372 -0.861 -3.678
0.857 -3.618 0.760
-5.829 -1.198 0.869



--- two ---
! CdHS2Cl PBE relaxed; values from VASP
! **Fermi-level density of states**: 0.404 states/eV/atom
! **Calculated volume**: 144.3 Å³/f.u.
&SYSTEM
  ibrav = 0, nat = 5, ntyp = 4
/
ATOMIC_SPECIES
S 32.06 S.upf
H 1.01 H.upf
Cd 112.41 Cd.upf
Cl 35.45 Cl.upf
ATOMIC_POSITIONS crystal
S 0.000 0.500 0.000
S 0.500 0.000 0.000
H 0.500 0.500 0.500
Cd 0.000 0.000 0.000
Cl 0.000 0.000 0.500
CELL_PARAMETERS angstrom
-4.567 2.192 1.238
1.006 -0.761 5.060
2.348 4.753 0.248



Which one sits at the top of the stability order? one does.



--- one ---
! HfCdCl3 PBE relaxed; values from VASP
! **Fermi-level density of states**: 1.125 states/eV/atom
! **Calculated volume**: 141.3 Å³/f.u.
&SYSTEM
  ibrav = 0, nat = 5, ntyp = 3
/
ATOMIC_SPECIES
Cl 35.45 Cl.upf
Cd 112.41 Cd.upf
Hf 178.49 Hf.upf
ATOMIC_POSITIONS crystal
Cl 0.000 0.500 0.000
Cl 0.000 0.000 0.500
Cl 0.500 0.000 0.000
Cd 0.000 0.000 0.000
Hf 0.500 0.500 0.500
CELL_PARAMETERS angstrom
5.208 0.000 0.000
0.000 5.208 0.000
0.000 0.000 5.208



--- two ---
! HfCdCl3 PBE relaxed; values from VASP
! **Fermi-level density of states**: 0.383 states/eV/atom
! **Calculated volume**: 128.4 Å³/f.u.
&SYSTEM
  ibrav = 0, nat = 5, ntyp = 3
/
ATOMIC_SPECIES
Cl 35.45 Cl.upf
Hf 178.49 Hf.upf
Cd 112.41 Cd.upf
ATOMIC_POSITIONS crystal
Cl 0.500 0.000 0.000
Cl 0.000 0.500 0.000
Cl 0.000 0.000 0.500
Hf 0.000 0.000 0.000
Cd 0.500 0.500 0.500
CELL_PARAMETERS angstrom
-4.464 2.229 0.748
-2.103 -3.070 -3.406
-1.050 -3.325 3.646



Which one sits at the top of the stability order? two does.



--- one ---
! HfCd3Cl PBE relaxed; values from VASP
! **Fermi-level density of states**: 0.989 states/eV/atom
! **Calculated volume**: 137.9 Å³/f.u.
&SYSTEM
  ibrav = 0, nat = 5, ntyp = 3
/
ATOMIC_SPECIES
Cd 112.41 Cd.upf
Hf 178.49 Hf.upf
Cl 35.45 Cl.upf
ATOMIC_POSITIONS crystal
Cd 0.000 0.500 0.000
Cd 0.000 0.000 0.500
Cd 0.500 0.000 0.000
Hf 0.500 0.500 0.500
Cl 0.000 0.000 0.000
CELL_PARAMETERS angstrom
5.167 0.000 0.000
0.000 5.167 0.000
0.000 0.000 5.167



--- two ---
! HfCd3Cl PBE relaxed; values from VASP
! **Fermi-level density of states**: 0.938 states/eV/atom
! **Calculated volume**: 189.5 Å³/f.u.
&SYSTEM
  ibrav = 0, nat = 5, ntyp = 3
/
ATOMIC_SPECIES
Cd 112.41 Cd.upf
Hf 178.49 Hf.upf
Cl 35.45 Cl.upf
ATOMIC_POSITIONS crystal
Cd 0.000 0.500 0.000
Cd 0.500 0.000 0.000
Cd 0.000 0.000 0.500
Hf 0.000 0.000 0.000
Cl 0.500 0.500 0.500
CELL_PARAMETERS angstrom
-2.844 2.470 4.335
-4.258 -3.803 -0.626
2.601 -3.524 3.715



Which one sits at the top of the stability order? two does.



--- one ---
! HfCdP2Cl PBE relaxed; values from VASP
! **Fermi-level density of states**: 0.692 states/eV/atom
! **Calculated volume**: 116.8 Å³/f.u.
&SYSTEM
  ibrav = 0, nat = 5, ntyp = 4
/
ATOMIC_SPECIES
P 30.97 P.upf
Cd 112.41 Cd.upf
Cl 35.45 Cl.upf
Hf 178.49 Hf.upf
ATOMIC_POSITIONS crystal
P 0.500 0.000 0.000
P 0.000 0.500 0.000
Cd 0.000 0.000 0.000
Cl 0.000 0.000 0.500
Hf 0.500 0.500 0.500
CELL_PARAMETERS angstrom
4.901 0.000 0.000
0.000 4.901 0.000
0.000 0.000 4.863



--- two ---
! HfCdP2Cl PBE relaxed; values from VASP
! **Fermi-level density of states**: 0.647 states/eV/atom
! **Calculated volume**: 125.3 Å³/f.u.
&SYSTEM
  ibrav = 0, nat = 5, ntyp = 4
/
ATOMIC_SPECIES
Cd 112.41 Cd.upf
P 30.97 P.upf
Cl 35.45 Cl.upf
Hf 178.49 Hf.upf
ATOMIC_POSITIONS crystal
Cd 0.500 0.500 0.500
P 0.500 0.000 0.000
P 0.000 0.500 0.000
Cl 0.000 0.000 0.500
Hf 0.000 0.000 0.000
CELL_PARAMETERS angstrom
5.057 0.000 0.000
0.000 5.057 0.000
0.000 0.000 4.898



Which one sits at the top of the stability order? two does.



--- one ---
! HfCdS2Cl PBE relaxed; values from VASP
! **Fermi-level density of states**: 0.532 states/eV/atom
! **Calculated volume**: 123.3 Å³/f.u.
&SYSTEM
  ibrav = 0, nat = 5, ntyp = 4
/
ATOMIC_SPECIES
Hf 178.49 Hf.upf
Cd 112.41 Cd.upf
Cl 35.45 Cl.upf
S 32.06 S.upf
ATOMIC_POSITIONS crystal
Hf 0.000 0.000 0.000
Cd 0.500 0.500 0.500
Cl 0.000 0.000 0.500
S 0.000 0.500 0.000
S 0.500 0.000 0.000
CELL_PARAMETERS angstrom
-4.864 0.650 -0.816
-1.009 -1.935 4.471
0.267 4.543 2.027



--- two ---
! HfCdS2Cl PBE relaxed; values from VASP
! **Fermi-level density of states**: 0.944 states/eV/atom
! **Calculated volume**: 119.8 Å³/f.u.
&SYSTEM
  ibrav = 0, nat = 5, ntyp = 4
/
ATOMIC_SPECIES
Cl 35.45 Cl.upf
S 32.06 S.upf
Hf 178.49 Hf.upf
Cd 112.41 Cd.upf
ATOMIC_POSITIONS crystal
Cl 0.000 0.000 0.500
S 0.000 0.500 0.000
S 0.500 0.000 0.000
Hf 0.500 0.500 0.500
Cd 0.000 0.000 0.000
CELL_PARAMETERS angstrom
-3.716 1.702 2.860
2.538 -1.323 4.085
2.079 4.343 0.116



Which one sits at the top of the stability order? one does.



--- one ---
! CdHgCl2 PBE relaxed; values from VASP
! **Fermi-level density of states**: 0.000 states/eV/atom
! **Calculated volume**: 135.4 Å³/f.u.
&SYSTEM
  ibrav = 0, nat = 4, ntyp = 3
/
ATOMIC_SPECIES
Cd 112.41 Cd.upf
Cl 35.45 Cl.upf
Hg 200.59 Hg.upf
ATOMIC_POSITIONS crystal
Cd 0.354 0.354 0.946
Cl 0.714 0.714 0.948
Cl 0.909 0.909 0.160
Hg 0.523 0.523 0.447
CELL_PARAMETERS angstrom
7.041 0.194 0.110
5.956 3.760 0.110
2.809 0.854 5.394



--- two ---
! CdHgCl2 PBE relaxed; values from VASP
! **Fermi-level density of states**: 0.284 states/eV/atom
! **Calculated volume**: 93.4 Å³/f.u.
&SYSTEM
  ibrav = 0, nat = 4, ntyp = 3
/
ATOMIC_SPECIES
Cl 35.45 Cl.upf
Cd 112.41 Cd.upf
Hg 200.59 Hg.upf
ATOMIC_POSITIONS crystal
Cl 0.000 0.000 0.000
Cl 0.750 0.750 0.750
Cd 0.500 0.500 0.500
Hg 0.250 0.250 0.250
CELL_PARAMETERS angstrom
5.093 0.000 0.000
2.547 4.411 0.000
2.547 1.470 4.159



--- three ---
! CdHgCl2 PBE relaxed; values from VASP
! **Fermi-level density of states**: 0.000 states/eV/atom
! **Calculated volume**: 145.8 Å³/f.u.
&SYSTEM
  ibrav = 0, nat = 8, ntyp = 3
/
ATOMIC_SPECIES
Cl 35.45 Cl.upf
Hg 200.59 Hg.upf
Cd 112.41 Cd.upf
ATOMIC_POSITIONS crystal
Cl 0.507 0.125 0.250
Cl 0.875 0.757 0.750
Cl 0.375 0.493 0.750
Cl 0.243 0.625 0.250
Hg 0.000 0.000 0.000
Hg 0.750 0.250 0.500
Cd 0.250 0.750 0.500
Cd 0.500 0.500 0.000
CELL_PARAMETERS angstrom
-4.349 6.538 0.798
-6.578 -4.361 -0.113
-5.257 0.657 4.999



--- four ---
! CdHgCl2 PBE relaxed; values from VASP
! **Calculated volume**: 118.0 Å³/f.u.
&SYSTEM
  ibrav = 0, nat = 4, ntyp = 3
/
ATOMIC_SPECIES
Cl 35.45 Cl.upf
Hg 200.59 Hg.upf
Cd 112.41 Cd.upf
ATOMIC_POSITIONS crystal
Cl 0.000 0.000 0.938
Cl 0.500 0.500 0.307
Hg 0.000 0.000 0.506
Cd 0.500 0.500 0.750
CELL_PARAMETERS angstrom
-2.885 2.350 -1.299
0.873 -3.388 -1.815
-5.830 -4.287 5.196



Which one sits at the top of the stability order? one does.